No. 1
SbAu2Br | Alexandria via LeMat-Bulk | SCAN | PBEsol geometry; ΔE to the lowest computed polymorph = 307 meV/atom; theoretical density = 11.62 Mg/m³; symmetry = Immm (71); DOS at the Fermi energy = 1.154 states/eV/cell; uncorrected formation energy = 0.258 eV/atom
1.0
-1.5814 2.4628 5.4632
1.5814 -2.4628 5.4632
1.5814 2.4628 -5.4632
Sb Au Br
1 2 1
direct
0.0000 0.0000 0.0000 Sb
0.2284 0.7284 0.5000 Au
0.7716 0.2716 0.5000 Au
0.5000 0.5000 0.0000 Br

---

No. 2
SbAu2Br | Alexandria via LeMat-Bulk | SCAN | PBEsol geometry; ΔE to the lowest computed polymorph = 60 meV/atom; theoretical density = 8.67 Mg/m³; symmetry = I-42d (122); DOS at the Fermi energy = 1.996 states/eV/cell; uncorrected formation energy = 0.011 eV/atom
1.0
-3.2921 3.2921 5.2610
3.2921 -3.2921 5.2610
3.2921 3.2921 -5.2610
Sb Au Br
2 4 2
direct
0.0000 0.0000 0.0000 Sb
0.7500 0.2500 0.5000 Sb
0.1058 0.1250 0.4808 Au
0.3750 0.8942 0.0192 Au
0.6442 0.6250 0.5192 Au
0.8750 0.3558 0.9808 Au
0.2500 0.7500 0.5000 Br
0.5000 0.5000 0.0000 Br

---

No. 3
SbAuBr2 | Alexandria via LeMat-Bulk | SCAN | PBEsol geometry; ΔE to the lowest computed polymorph = 147 meV/atom; theoretical density = 7.43 Mg/m³; symmetry = R-3m (166); DOS at the Fermi energy = 0.695 states/eV/cell; uncorrected formation energy = 0.118 eV/atom
1.0
1.8402 1.0625 9.1157
-1.8402 1.0625 9.1157
0.0000 -2.1249 9.1157
Sb Au Br
1 1 2
direct
0.0000 0.0000 0.0000 Sb
0.5000 0.5000 0.5000 Au
0.1011 0.1011 0.1011 Br
0.8989 0.8989 0.8989 Br

---

No. 4
SbAu2Br | Alexandria via LeMat-Bulk | SCAN | PBEsol geometry; ΔE to the lowest computed polymorph = 444 meV/atom; theoretical density = 11.79 Mg/m³; symmetry = I-4m2 (119); DOS at the Fermi energy = 0.766 states/eV/cell; uncorrected formation energy = 0.396 eV/atom
1.0
-2.2823 2.2823 4.0262
2.2823 -2.2823 4.0262
2.2823 2.2823 -4.0262
Sb Au Br
1 2 1
direct
0.0000 0.0000 0.0000 Sb
0.5000 0.5000 0.0000 Au
0.7500 0.2500 0.5000 Au
0.2500 0.7500 0.5000 Br

---

Look up the DOS at the Fermi energy of the fourth one.
0.766 states/eV/cell

---

Which of these has the lowest ΔE to the lowest computed polymorph?
number 2

---

The lowest uncorrected formation energy belongs to which entry?
number 2